Model P:
This record from Alexandria via LeMat-Bulk describes crystalline ReSb2AsI at its relaxed geometry. The functional is PBE-GGA.

abc: 5.069 5.069 5.704
angles: 90.00 90.00 90.00
Sites, in units of the cell vectors:
1 Re 0.000 0.000 0.000
2 Sb 0.000 0.500 0.000
3 Sb 0.500 0.000 0.000
4 As 0.500 0.500 0.500
5 I 0.000 0.000 0.500

M_tot: 0.00 μB/f.u.

=====

Model Q:
This record from Alexandria via LeMat-Bulk describes crystalline ReSb2AsI at its relaxed geometry. The functional is PBE-GGA.

abc: 5.404 5.404 5.369
angles: 90.00 90.00 90.00
Sites, in units of the cell vectors:
1 Re 0.000 0.000 0.000
2 Sb 0.000 0.500 0.500
3 Sb 0.500 0.000 0.500
4 As 0.500 0.500 0.500
5 I 0.500 0.500 0.000

M_tot: 3.36 μB/f.u.

=====

Ordering by calculated energy gives the sequence model P, model Q, with the first entry being the most stable.

=====

Model P:
This record from Alexandria via LeMat-Bulk describes crystalline ReTe2AsI at its relaxed geometry. The functional is PBE-GGA.

abc: 5.146 5.146 5.538
angles: 90.00 90.00 90.00
Sites, in units of the cell vectors:
1 Re 0.000 0.000 0.000
2 Te 0.000 0.500 0.000
3 Te 0.500 0.000 0.000
4 As 0.500 0.500 0.500
5 I 0.000 0.000 0.500

M_tot: 0.00 μB/f.u.

=====

Model Q:
This record from Alexandria via LeMat-Bulk describes crystalline ReTe2AsI at its relaxed geometry. The functional is PBE-GGA.

abc: 5.514 5.514 5.447
angles: 90.00 90.00 90.00
Sites, in units of the cell vectors:
1 Re 0.000 0.000 0.000
2 Te 0.000 0.500 0.500
3 Te 0.500 0.000 0.500
4 As 0.500 0.500 0.500
5 I 0.500 0.500 0.000

M_tot: 4.80 μB/f.u.

=====

Ordering by calculated energy gives the sequence model P, model Q, with the first entry being the most stable.

=====

Model P:
This record from Alexandria via LeMat-Bulk describes crystalline As2RhI at its relaxed geometry. The functional is PBE-GGA.

abc: 7.111 7.111 7.111
angles: 125.25 125.25 81.12
Sites, in units of the cell vectors:
1 As 0.025 0.625 0.900
2 As 0.375 0.275 0.400
3 As 0.725 0.125 0.100
4 As 0.875 0.975 0.600
5 Rh 0.000 0.000 0.000
6 Rh 0.750 0.250 0.500
7 I 0.250 0.750 0.500
8 I 0.500 0.500 0.000

M_tot: 0.00 μB/f.u.

=====

Model Q:
This record from Alexandria via LeMat-Bulk describes crystalline As2RhI at its relaxed geometry. The functional is PBE-GGA.

abc: 4.817 4.817 4.817
angles: 60.00 60.00 60.00
Sites, in units of the cell vectors:
1 As 0.250 0.250 0.250
2 As 0.750 0.750 0.750
3 Rh 0.000 0.000 0.000
4 I 0.500 0.500 0.500

M_tot: 0.00 μB/f.u.

=====

Ordering by calculated energy gives the sequence model P, model Q, with the first entry being the most stable.